Below is crystalline La3TaBi at its relaxed geometry, with properties calculated at the PBE-GGA level.

calculated volume	34.8	Å³/atom
ΔE to the lowest computed polymorph	0.0	meV per atom

The structure in extended XYZ format:
```
5
Lattice="5.5852 0.0000 0.0000 0.0000 5.5852 0.0000 0.0000 0.0000 5.5852" Properties=species:S:1:pos:R:3 pbc="T T T"
La 0.0000 0.0000 2.7926
La 0.0000 2.7926 0.0000
La 2.7926 0.0000 0.0000
Ta 0.0000 0.0000 0.0000
Bi 2.7926 2.7926 2.7926
```

Below is crystalline RbAgBr3 at its relaxed geometry, with properties calculated at the PBE-GGA level.

calculated volume	31.2	Å³/atom

The structure in extended XYZ format:
```
10
Lattice="5.6818 0.0000 0.0000 -2.8409 4.9206 0.0000 0.0000 0.0000 11.1669" Properties=species:S:1:pos:R:3 pbc="T T T"
Rb 0.0000 3.2804 2.7917
Rb 2.8409 1.6402 8.3752
Ag 0.0000 0.0000 0.0000
Ag 0.0000 0.0000 5.5835
Br 0.0000 0.0000 2.7917
Br 0.0000 0.0000 8.3752
Br 0.0000 3.2804 6.0919
Br 0.0000 3.2804 10.6585
Br 2.8409 1.6402 0.5085
Br 2.8409 1.6402 5.0750
```

Below is crystalline TlHPd2 at its relaxed geometry, with properties calculated at the PBE-GGA level.

calculated volume	14.4	Å³/atom
ΔE to the lowest computed polymorph	93.8	meV per atom

The structure in extended XYZ format:
```
4
Lattice="1.5668 0.9046 6.7506 -1.5668 0.9046 6.7506 0.0000 -1.8091 6.7506" Properties=species:S:1:pos:R:3 pbc="T T T"
Tl 0.0000 0.0000 0.0000
H 0.0000 0.0000 16.6030
Pd 0.0000 0.0000 4.5444
Pd 0.0000 0.0000 9.0583
```

Below is crystalline YHo3 at its relaxed geometry, with properties calculated at the PBE-GGA level.

calculated volume	31.8	Å³/atom
ΔE to the lowest computed polymorph	1.1	meV per atom

The structure in extended XYZ format:
```
4
Lattice="-1.8086 5.6146 3.1287 1.8086 -5.6146 3.1287 1.8086 5.6146 -3.1287" Properties=species:S:1:pos:R:3 pbc="T T T"
Y 0.0000 0.0000 0.0000
Ho 1.8086 2.8190 1.0449
Ho 1.8086 0.0000 3.1214
Ho 0.0000 2.7957 4.1736
```

Below is crystalline PuTlTeSe at its relaxed geometry, with properties calculated at the PBE-GGA level.

calculated volume	33.0	Å³/atom

The structure in extended XYZ format:
```
4
Lattice="2.1807 1.2590 8.0163 -2.1807 1.2590 8.0163 0.0000 -2.5180 8.0163" Properties=species:S:1:pos:R:3 pbc="T T T"
Pu 0.0000 0.0000 0.0000
Tl 0.0000 0.0000 20.1357
Te 0.0000 0.0000 9.8953
Se 0.0000 0.0000 14.6191
```

Below is crystalline ThBr2F2 at its relaxed geometry, with properties calculated at the PBE-GGA level.

calculated volume	24.2	Å³/atom

The structure in extended XYZ format:
```
10
Lattice="6.3884 -3.0135 0.0000 6.3884 3.0135 0.0000 -1.2690 0.0000 6.2898" Properties=species:S:1:pos:R:3 pbc="T T T"
Th 5.4366 1.7818 4.7174
Th 6.0711 -1.7818 1.5725
Br 4.2228 0.4761 2.3247
Br 3.5883 -0.4761 5.4696
Br 7.9194 0.4761 0.8203
Br 7.2849 -0.4761 3.9652
F -0.1072 0.3875 6.1908
F 0.5273 -0.3875 3.0459
F 10.9804 0.3875 3.2439
F 11.6149 -0.3875 0.0990
```

Below is crystalline Mg2CoW at its relaxed geometry, with properties calculated at the PBE-GGA level.

calculated volume	16.0	Å³/atom
ΔE to the lowest computed polymorph	225.7	meV per atom

The structure in extended XYZ format:
```
4
Lattice="4.4245 -1.3904 0.0000 4.4245 1.3904 0.0000 -0.7381 0.0000 5.2093" Properties=species:S:1:pos:R:3 pbc="T T T"
Mg 0.0000 0.0000 0.0000
Mg 1.5320 0.0000 3.8711
Co 6.2784 0.0000 1.5549
W 3.8841 0.0000 2.4077
```

Below is crystalline DyScAgPd at its relaxed geometry, with properties calculated at the PBE-GGA level.

calculated volume	21.0	Å³/atom
ΔE to the lowest computed polymorph	0.0	meV per atom

The structure in extended XYZ format:
```
4
Lattice="3.4541 0.0000 0.0000 0.0000 3.4541 0.0000 0.0000 0.0000 7.0314" Properties=species:S:1:pos:R:3 pbc="T T T"
Dy 0.0000 0.0000 0.0000
Sc 0.0000 0.0000 3.3703
Ag 1.7271 1.7271 5.0353
Pd 1.7271 1.7271 1.8397
```

Below is crystalline LaPS2 at its relaxed geometry, with properties calculated at the PBE-GGA level.

calculated volume	32.0	Å³/atom

The structure in extended XYZ format:
```
4
Lattice="2.2086 1.2751 7.5793 -2.2086 1.2751 7.5793 0.0000 -2.5502 7.5793" Properties=species:S:1:pos:R:3 pbc="T T T"
La 0.0000 0.0000 0.0000
P 0.0000 0.0000 11.3689
S 0.0000 0.0000 8.9745
S 0.0000 0.0000 13.7633
```

Below is crystalline NdNb2CoN4 at its relaxed geometry, with properties calculated at the PBE-GGA level.

calculated volume	11.7	Å³/atom

The structure in extended XYZ format:
```
16
Lattice="1.5956 -5.4124 0.0000 1.5956 5.4124 0.0000 0.0000 0.0000 10.8629" Properties=species:S:1:pos:R:3 pbc="T T T"
Nd 1.5956 4.2515 8.1472
Nd 1.5956 -4.2515 2.7157
Nb 1.5956 1.4209 6.0556
Nb 1.5956 1.4209 10.2388
Nb 1.5956 -1.4209 0.6241
Nb 1.5956 -1.4209 4.8073
Co 1.5956 3.6993 2.7157
Co 1.5956 -3.6993 8.1472
N 0.0000 0.0000 0.0000
N 0.0000 0.0000 5.4314
N 1.5956 2.4823 1.2132
N 1.5956 2.4823 4.2183
N 1.5956 0.6379 8.1472
N 1.5956 -0.6379 2.7157
N 1.5956 -2.4823 6.6446
N 1.5956 -2.4823 9.6497
```

Below is crystalline Hf2CdOs2 at its relaxed geometry, with properties calculated at the PBE-GGA level.

calculated volume	18.9	Å³/atom

The structure in extended XYZ format:
```
10
Lattice="7.6838 0.0000 0.0000 0.0000 7.6838 0.0000 0.0000 0.0000 3.1990" Properties=species:S:1:pos:R:3 pbc="T T T"
Hf 1.1711 2.6707 0.0000
Hf 2.6707 6.5126 0.0000
Hf 5.0130 1.1711 0.0000
Hf 6.5126 5.0130 0.0000
Cd 0.0000 0.0000 1.5995
Cd 3.8419 3.8419 1.5995
Os 1.0937 4.9356 1.5995
Os 2.7482 1.0937 1.5995
Os 4.9356 6.5900 1.5995
Os 6.5900 2.7482 1.5995
```

Below is crystalline ReNiTe2N at its relaxed geometry, with properties calculated at the PBE-GGA level.

calculated volume	17.9	Å³/atom
ΔE to the lowest computed polymorph	351.6	meV per atom

The structure in extended XYZ format:
```
5
Lattice="5.1641 0.0000 0.0000 0.0000 5.1641 0.0000 0.0000 0.0000 3.3645" Properties=species:S:1:pos:R:3 pbc="T T T"
Re 0.0000 0.0000 0.0000
Ni 2.5821 2.5821 1.6823
Te 0.0000 2.5821 1.6823
Te 2.5821 0.0000 1.6823
N 2.5821 2.5821 0.0000
```

Below is crystalline Ba2CaPd9 at its relaxed geometry, with properties calculated at the PBE-GGA level.

calculated volume	20.4	Å³/atom

The structure in extended XYZ format:
```
12
Lattice="2.7657 1.5968 9.2405 -2.7657 1.5968 9.2405 0.0000 -3.1935 9.2405" Properties=species:S:1:pos:R:3 pbc="T T T"
Ba 0.0000 0.0000 3.8523
Ba 0.0000 0.0000 23.8694
Ca 0.0000 0.0000 0.0000
Pd -1.3836 -0.7988 11.4709
Pd 0.0000 0.0000 9.2229
Pd 0.0000 -1.5976 16.2507
Pd -1.3836 0.7988 16.2507
Pd 0.0000 0.0000 13.8608
Pd 1.3836 -0.7988 11.4709
Pd 0.0000 1.5976 11.4709
Pd 0.0000 0.0000 18.4987
Pd 1.3836 0.7988 16.2507
```

Below is crystalline Pm3Pr2Tm4 at its relaxed geometry, with properties calculated at the PBE-GGA level.

calculated volume	32.7	Å³/atom
ΔE to the lowest computed polymorph	76.3	meV per atom

The structure in extended XYZ format:
```
18
Lattice="8.2485 -5.8690 0.0000 8.2485 5.8690 0.0000 -0.8058 0.0000 6.0839" Properties=species:S:1:pos:R:3 pbc="T T T"
Pm 7.6442 4.2721 4.5629
Pm 4.8516 1.6943 5.5215
Pm 5.2545 -1.6943 2.4795
Pm 10.4367 1.6943 3.6043
Pm 10.8396 -1.6943 0.5624
Pm 8.0471 -4.2721 1.5210
Pr 6.2268 4.3815 1.3138
Pr 9.8674 4.3815 1.7281
Pr 5.8239 -4.3815 4.3558
Pr 9.4645 -4.3815 4.7700
Tm 3.5551 1.3659 2.1912
Tm 6.9226 1.3225 2.7948
Tm 3.1522 -1.3659 5.2331
Tm 9.1715 1.3225 0.2471
Tm 6.5197 -1.3225 5.8367
Tm 12.5390 1.3659 0.8508
Tm 8.7686 -1.3225 3.2890
Tm 12.1361 -1.3659 3.8927
```

Below is crystalline Ag2AsHW at its relaxed geometry, with properties calculated at the PBE-GGA level.

calculated volume	18.2	Å³/atom

The structure in extended XYZ format:
```
5
Lattice="5.2817 0.0000 0.0000 0.0000 5.2817 0.0000 0.0000 0.0000 3.2670" Properties=species:S:1:pos:R:3 pbc="T T T"
Ag 0.0000 2.6409 0.0000
Ag 2.6409 0.0000 0.0000
As 0.0000 0.0000 1.6335
H 2.6409 2.6409 1.6335
W 2.6409 2.6409 0.0000
```

Below is crystalline TaSIN2 at its relaxed geometry, with properties calculated at the PBE-GGA level.

calculated volume	15.0	Å³/atom
ΔE to the lowest computed polymorph	1750.1	meV per atom

The structure in extended XYZ format:
```
5
Lattice="3.9236 0.0000 0.0000 0.0000 3.9236 0.0000 0.0000 0.0000 4.8764" Properties=species:S:1:pos:R:3 pbc="T T T"
Ta 0.0000 0.0000 0.0000
S 1.9618 1.9618 2.4382
I 1.9618 1.9618 0.0000
N 0.0000 1.9618 2.4382
N 1.9618 0.0000 2.4382
```

Below is crystalline VAs2IrSe at its relaxed geometry, with properties calculated at the PBE-GGA level.

calculated volume	23.0	Å³/atom
ΔE to the lowest computed polymorph	154.6	meV per atom

The structure in extended XYZ format:
```
5
Lattice="4.6882 0.0000 0.0000 0.0000 4.6882 0.0000 0.0000 0.0000 5.2301" Properties=species:S:1:pos:R:3 pbc="T T T"
V 0.0000 0.0000 0.0000
As 0.0000 2.3441 2.6151
As 2.3441 0.0000 2.6151
Ir 2.3441 2.3441 2.6151
Se 2.3441 2.3441 0.0000
```

Below is crystalline ZrIr2Se at its relaxed geometry, with properties calculated at the PBE-GGA level.

calculated volume	17.2	Å³/atom

The structure in extended XYZ format:
```
8
Lattice="5.2817 0.0000 0.0000 0.0000 4.5068 0.0000 -0.1285 0.0000 5.7683" Properties=species:S:1:pos:R:3 pbc="T T T"
Zr 0.0000 0.0000 0.0000
Zr 1.4746 2.2534 2.6197
Ir 2.3391 0.0000 4.1595
Ir 4.1499 2.2534 4.2570
Ir 4.3256 2.2534 1.4871
Ir 4.9898 0.0000 3.0352
Se 1.9099 2.2534 5.3484
Se 2.8322 0.0000 1.6334
```

Below is crystalline HoTmSnAu at its relaxed geometry, with properties calculated at the PBE-GGA level.

calculated volume	24.5	Å³/atom

The structure in extended XYZ format:
```
4
Lattice="0.0000 3.6593 3.6593 3.6593 0.0000 3.6593 3.6593 3.6593 0.0000" Properties=species:S:1:pos:R:3 pbc="T T T"
Ho 0.0000 0.0000 0.0000
Tm 3.6593 3.6593 3.6593
Sn 1.8296 1.8296 1.8296
Au 5.4889 5.4889 5.4889
```

Below is crystalline Li2Ac2Sb2S at its relaxed geometry, with properties calculated at the PBE-GGA level.

calculated volume	29.6	Å³/atom

The structure in extended XYZ format:
```
7
Lattice="-2.3977 2.3977 9.0223 2.3977 -2.3977 9.0223 2.3977 2.3977 -9.0223" Properties=species:S:1:pos:R:3 pbc="T T T"
Li 2.3977 0.0000 0.0000
Li 0.0000 2.3977 0.0000
Ac 0.0000 0.0000 2.9414
Ac 0.0000 0.0000 15.1032
Sb 0.0000 0.0000 6.4250
Sb 0.0000 0.0000 11.6195
S 0.0000 0.0000 0.0000
```

Below is crystalline MgScSb2 at its relaxed geometry, with properties calculated at the PBE-GGA level.

calculated volume	24.3	Å³/atom

The structure in extended XYZ format:
```
16
Lattice="20.9274 0.0000 0.0000 0.0000 4.3036 0.0000 0.0000 0.0000 4.3082" Properties=species:S:1:pos:R:3 pbc="T T T"
Mg 5.2345 1.0759 1.0685
Mg 5.2291 3.2277 3.2227
Mg 15.6982 1.0759 1.0856
Mg 15.6928 3.2277 3.2397
Sc 2.1985 1.0759 3.2279
Sc 8.2652 3.2277 1.0738
Sc 12.6622 1.0759 3.2344
Sc 18.7289 3.2277 1.0803
Sb 0.0004 1.0759 1.0767
Sb 20.9269 3.2277 3.2315
Sb 3.2263 3.2277 1.0714
Sb 7.2373 1.0759 3.2255
Sb 10.4641 1.0759 1.0774
Sb 10.4633 3.2277 3.2309
Sb 13.6900 3.2277 1.0827
Sb 17.7010 1.0759 3.2368
```

Below is crystalline Tb2NdSmTl2 at its relaxed geometry, with properties calculated at the PBE-GGA level.

calculated volume	30.1	Å³/atom

The structure in extended XYZ format:
```
12
Lattice="5.1792 0.0000 0.0000 0.0000 10.1842 0.0000 0.0000 0.0000 6.8569" Properties=species:S:1:pos:R:3 pbc="T T T"
Tb 0.0000 0.4262 0.0000
Tb 0.0000 9.7580 3.4285
Tb 2.5896 1.8578 1.9179
Tb 2.5896 8.3264 5.3463
Nd 2.5896 4.6659 6.2187
Nd 2.5896 5.5182 2.7902
Sm 0.0000 3.1787 4.3540
Sm 0.0000 7.0055 0.9255
Tl 0.0000 3.6496 1.1389
Tl 0.0000 6.5346 4.5673
Tl 2.5896 1.3269 5.1153
Tl 2.5896 8.8573 1.6868
```

Below is crystalline CsCoP2S at its relaxed geometry, with properties calculated at the PBE-GGA level.

calculated volume	34.5	Å³/atom
ΔE to the lowest computed polymorph	2082.5	meV per atom

The structure in extended XYZ format:
```
5
Lattice="5.6894 0.0000 0.0000 0.0000 5.6894 0.0000 0.0000 0.0000 5.3257" Properties=species:S:1:pos:R:3 pbc="T T T"
Cs 0.0000 0.0000 0.0000
Co 2.8447 2.8447 2.6629
P 0.0000 2.8447 0.0000
P 2.8447 0.0000 0.0000
S 0.0000 0.0000 2.6629
```

Below is crystalline CaCo5 at its relaxed geometry, with properties calculated at the PBE-GGA level.

calculated volume	13.7	Å³/atom

The structure in extended XYZ format:
```
6
Lattice="2.9800 0.0000 0.0000 0.0000 2.9800 0.0000 0.0000 0.0000 9.2533" Properties=species:S:1:pos:R:3 pbc="T T T"
Ca 0.0000 0.0000 0.0000
Co 0.0000 0.0000 3.3245
Co 0.0000 0.0000 5.9288
Co 1.4900 1.4900 2.1577
Co 1.4900 1.4900 4.6266
Co 1.4900 1.4900 7.0956
```

Below is crystalline NaTiTe2N at its relaxed geometry, with properties calculated at the PBE-GGA level.

calculated volume	24.7	Å³/atom
ΔE to the lowest computed polymorph	0.0	meV per atom

The structure in extended XYZ format:
```
5
Lattice="5.7751 0.0000 0.0000 0.0000 5.7751 0.0000 0.0000 0.0000 3.7043" Properties=species:S:1:pos:R:3 pbc="T T T"
Na 0.0000 0.0000 0.0000
Ti 2.8876 2.8876 1.8521
Te 0.0000 2.8876 1.8521
Te 2.8876 0.0000 1.8521
N 2.8876 2.8876 0.0000
```

| no. | electronic total energy (eV per atom) |
| --- | --- |
| 1 | -5.981 |
| 2 | -2.411 |
| 3 | -4.069 |
| 4 | -5.046 |
| 5 | -6.764 |
| 6 | -5.737 |
| 7 | -5.434 |
| 8 | -5.328 |
| 9 | -5.410 |
| 10 | -9.079 |
| 11 | -8.850 |
| 12 | -5.564 |
| 13 | -4.832 |
| 14 | -4.537 |
| 15 | -4.118 |
| 16 | -4.678 |
| 17 | -5.193 |
| 18 | -7.914 |
| 19 | -4.782 |
| 20 | -4.687 |
| 21 | -4.539 |
| 22 | -4.185 |
| 23 | -2.234 |
| 24 | -6.010 |
| 25 | -5.106 |